## Fe4O (GGA+U)

Data for a geometry-optimized Fe4O structure.

Unit cell a=4.148 b=4.148 c=4.148 alpha=90.00 beta=90.00 gamma=90.00
Fractional positions:
Fe 0.000 0.000 0.000
Fe 0.000 0.500 0.500
Fe 0.500 0.000 0.500
Fe 0.500 0.500 0.000
O 0.500 0.500 0.500

Properties
DOS at the Fermi energy   3.06 states/eV/f.u.
Energy   -25.90 eV per cell